First-principles (GGA-PBE) data for Pr2Al6Pd9 after structural relaxation, as listed in the Alexandria database.

Computed properties:
Volume = 19.190 Å³/atom
Calculated density = 7.13 g/cm³
Magnetization = 0.0 μB/f.u.
DOS at the Fermi energy = 7.2 states/eV/cell
E_form = -72.79 kJ per mole of atoms
Crystal system = hexagonal
Space-group type = P6/mmm, No. 191

a b c (Å): 5.6378 5.6378 11.8517
angles (deg): 90.00 90.00 120.00
Closest atoms and distances in Å follow each position.
Fractional coordinates of all 17 atoms:
Pr (0.0000, 0.0000, 0.1937)  12 Pd 3.26-3.64, 6 Al 3.27
Pr (0.0000, 0.0000, 0.8063)  12 Pd 3.26-3.64, 6 Al 3.27
Al (0.3333, 0.6667, 0.1636)  6 Pd 2.53-2.57
Al (0.3333, 0.6667, 0.5000)  6 Pd 2.58
Al (0.3333, 0.6667, 0.8364)  6 Pd 2.53-2.57
Al (0.6667, 0.3333, 0.1636)  6 Pd 2.53-2.57
Al (0.6667, 0.3333, 0.5000)  6 Pd 2.58
Al (0.6667, 0.3333, 0.8364)  6 Pd 2.53-2.57
Pd (0.0000, 0.5000, 0.0000)  4 Al 2.53, 4 Pd 2.82
Pd (0.0000, 0.5000, 0.3316)  4 Al 2.57-2.58, 4 Pd 2.82
Pd (0.0000, 0.5000, 0.6684)  4 Al 2.57-2.58, 4 Pd 2.82
Pd (0.5000, 0.0000, 0.0000)  4 Al 2.53, 4 Pd 2.82
Pd (0.5000, 0.0000, 0.3316)  4 Al 2.57-2.58, 4 Pd 2.82
Pd (0.5000, 0.0000, 0.6684)  4 Al 2.57-2.58, 4 Pd 2.82
Pd (0.5000, 0.5000, 0.0000)  4 Al 2.53, 4 Pd 2.82
Pd (0.5000, 0.5000, 0.3316)  4 Al 2.57-2.58, 4 Pd 2.82
Pd (0.5000, 0.5000, 0.6684)  4 Al 2.57-2.58, 4 Pd 2.82

=====

First-principles (GGA-PBE) data for Pr3Al3Pd2 after structural relaxation, as listed in the Alexandria database.

Computed properties:
Volume = 23.463 Å³/atom
Calculated density = 6.34 g/cm³
Magnetization = 0.0 μB/f.u.
DOS at the Fermi energy = 28.3 states/eV/cell
E_form = -61.68 kJ per mole of atoms
Crystal system = orthorhombic
Space-group type = Pnma, No. 62

a b c (Å): 8.4260 15.5993 5.7124
angles (deg): 90.00 90.00 90.00
Closest atoms and distances in Å follow each position.
Fractional coordinates of all 32 atoms:
Pr (0.0406, 0.1107, 0.1167)  3 Pd 3.05-3.31, 6 Al 3.24-3.36
Pr (0.0406, 0.3893, 0.1167)  3 Pd 3.05-3.31, 6 Al 3.24-3.36
Pr (0.1845, 0.2500, 0.6053)  5 Al 3.07-3.36, 4 Pd 3.28-3.34
Pr (0.3155, 0.7500, 0.1053)  5 Al 3.07-3.36, 4 Pd 3.28-3.34
Pr (0.4594, 0.6107, 0.6167)  3 Pd 3.05-3.31, 6 Al 3.24-3.36
Pr (0.4594, 0.8893, 0.6167)  3 Pd 3.05-3.31, 6 Al 3.24-3.36
Pr (0.5406, 0.1107, 0.3833)  3 Pd 3.05-3.31, 6 Al 3.24-3.36
Pr (0.5406, 0.3893, 0.3833)  3 Pd 3.05-3.31, 6 Al 3.24-3.36
Pr (0.6845, 0.2500, 0.8947)  5 Al 3.07-3.36, 4 Pd 3.28-3.34
Pr (0.8155, 0.7500, 0.3947)  5 Al 3.07-3.36, 4 Pd 3.28-3.34
Pr (0.9594, 0.6107, 0.8833)  3 Pd 3.05-3.31, 6 Al 3.24-3.36
Pr (0.9594, 0.8893, 0.8833)  3 Pd 3.05-3.31, 6 Al 3.24-3.36
Al (0.1658, 0.7500, 0.5946)  2 Pd 2.66
Al (0.1820, 0.0347, 0.6081)  3 Pd 2.59-2.64
Al (0.1820, 0.4653, 0.6081)  3 Pd 2.59-2.64
Al (0.3180, 0.5347, 0.1081)  3 Pd 2.59-2.64
Al (0.3180, 0.9653, 0.1081)  3 Pd 2.59-2.64
Al (0.3342, 0.2500, 0.0946)  2 Pd 2.66
Al (0.6658, 0.7500, 0.9054)  2 Pd 2.66
Al (0.6820, 0.0347, 0.8919)  3 Pd 2.59-2.64
Al (0.6820, 0.4653, 0.8919)  3 Pd 2.59-2.64
Al (0.8180, 0.5347, 0.3919)  3 Pd 2.59-2.64
Al (0.8180, 0.9653, 0.3919)  3 Pd 2.59-2.64
Al (0.8342, 0.2500, 0.4054)  2 Pd 2.66
Pd (0.1036, 0.6036, 0.3734)  4 Al 2.59-2.66
Pd (0.1036, 0.8964, 0.3734)  4 Al 2.59-2.66
Pd (0.3964, 0.1036, 0.8734)  4 Al 2.59-2.66
Pd (0.3964, 0.3964, 0.8734)  4 Al 2.59-2.66
Pd (0.6036, 0.6036, 0.1266)  4 Al 2.59-2.66
Pd (0.6036, 0.8964, 0.1266)  4 Al 2.59-2.66
Pd (0.8964, 0.1036, 0.6266)  4 Al 2.59-2.66
Pd (0.8964, 0.3964, 0.6266)  4 Al 2.59-2.66

=====

First-principles (GGA-PBE) data for PrAlPd4 after structural relaxation, as listed in the Alexandria database.

Computed properties:
Volume = 18.827 Å³/atom
Calculated density = 8.73 g/cm³
Magnetization = 0.0 μB/f.u.
DOS at the Fermi energy = 2.4 states/eV/cell
E_form = -62.86 kJ per mole of atoms
Crystal system = triclinic
Space-group type = P-1, No. 2

a b c (Å): 4.3412 5.2758 5.4874
angles (deg): 98.70 90.11 114.28
Closest atoms and distances in Å follow each position.
Fractional coordinates of all 6 atoms:
Pr (0.0000, 0.0000, 0.0000)  10 Pd 2.96-3.14
Al (0.5000, 0.0000, 0.5000)  6 Pd 2.49-2.65
Pd (0.1608, 0.3213, 0.5457)  2 Al 2.65, 5 Pd 2.79-2.91
Pd (0.3113, 0.6228, 0.1284)  1 Al 2.49, 2 Pd 2.74-2.75
Pd (0.6887, 0.3772, 0.8716)  1 Al 2.49, 2 Pd 2.74-2.75
Pd (0.8392, 0.6787, 0.4543)  2 Al 2.65, 5 Pd 2.79-2.91